First-principles (PBE) data for a geometry-optimized AcSn2Pt6 structure, as listed in Alexandria.

a b c (Å): 3.8399 8.0927 12.3741
angles (deg): 90.00 90.00 90.00
Space group Immm (No. 71)
Inequivalent atoms, fractional coordinates:
Ac 0.0000 0.0000 0.0000
Sn 0.0000 0.5000 0.1308
Pt 0.0000 0.1659 0.5000
Pt 0.0000 0.3324 0.3157

ΔE_f in meV per atom: -378
Uncorrected energy in eV per atom: -5.7517